Here is crystalline KNb2SN at its relaxed geometry from Alexandria via LeMat-Bulk. Energies are from PBE.

Structure (POSCAR):
```
KNb2SN
1.0
4.602 0.000 0.000
0.000 4.602 0.000
0.000 0.000 5.034
K Nb S N
1 2 1 1
Cartesian
0.000 0.000 0.000
0.000 2.301 2.517
2.301 0.000 2.517
2.301 2.301 2.517
2.301 2.301 0.000
```

- volume (Å³/f.u.) = 106.6
- uncorrected formation energy (meV/atom) = 1315